1.
Below is crystalline PrMgNi2H8 at its relaxed geometry, with properties calculated at the PBE level.

Computed properties:
* VASP energy: -45.871 eV for the cell shown
* symmetry: P-3 (147)
* density of states at the Fermi level: 0.49 states/eV per atom
* M_tot: 0.00 μB/f.u.

a = 4.4131 Å, b = 4.4131 Å, c = 6.5717 Å
α = 90.00°, β = 90.00°, γ = 120.00°
Last column: nearest neighbours and their distance in Å.
Element x y z (fractional)
Pr 0.0000 0.0000 0.0000  12 H 2.45-2.57
Mg 0.0000 0.0000 0.5000  6 H 1.99
Ni 0.3333 0.6667 0.7153  4 H 1.56-1.58
Ni 0.6667 0.3333 0.2847  4 H 1.56-1.58
H 0.0312 0.6824 0.2971  1 Ni 1.58
H 0.3176 0.3488 0.2971  1 Ni 1.58
H 0.3333 0.6667 0.9523  1 Ni 1.56
H 0.3488 0.0312 0.7029  1 Ni 1.58
H 0.6512 0.9688 0.2971  1 Ni 1.58
H 0.6667 0.3333 0.0477  1 Ni 1.56
H 0.6824 0.6512 0.7029  1 Ni 1.58
H 0.9688 0.3176 0.7029  1 Ni 1.58

***

2.
Below is crystalline TaBiW3 at its relaxed geometry, with properties calculated at the PBE level.

Computed properties:
* symmetry: Pm-3m (221)
* density of states at the Fermi level: 1.14 states/eV per atom
* M_tot: 0.00 μB/f.u.
* offset from the most stable computed form: 0.000 eV/atom
* energy relative to the elements: 2.13 eV/atom

a = 4.8841 Å, b = 4.8841 Å, c = 4.8841 Å
α = 90.00°, β = 90.00°, γ = 90.00°
Last column: nearest neighbours and their distance in Å.
Element x y z (fractional)
Ta 0.0000 0.0000 0.0000  6 W 2.44
Bi 0.5000 0.5000 0.5000  12 W 3.45
W 0.0000 0.0000 0.5000  2 Ta 2.44
W 0.0000 0.5000 0.0000  2 Ta 2.44
W 0.5000 0.0000 0.0000  2 Ta 2.44

***

3.
Below is crystalline DyTh4B3Rh12 at its relaxed geometry, with properties calculated at the PBE level.

Computed properties:
* symmetry: Im-3m (229)
* density of states at the Fermi level: 0.21 states/eV per atom
* M_tot: 0.00 μB/f.u.
* energy relative to the elements: -0.65 eV/atom

a = 7.6664 Å, b = 7.6664 Å, c = 7.6664 Å
α = 109.47°, β = 109.47°, γ = 109.47°
Last column: nearest neighbours and their distance in Å.
Element x y z (fractional)
Dy 0.0000 0.0000 0.0000  6 Rh 2.49
Th 0.0000 0.0000 0.5000  12 Rh 3.13-3.14
Th 0.0000 0.5000 0.0000  12 Rh 3.13-3.14
Th 0.5000 0.0000 0.0000  12 Rh 3.13-3.14
Th 0.5000 0.5000 0.5000  12 Rh 3.13-3.14
B 0.0000 0.5000 0.5000  2 Rh 1.93
B 0.5000 0.0000 0.5000  2 Rh 1.93
B 0.5000 0.5000 0.0000  2 Rh 1.93
Rh 0.0000 0.2816 0.2816  1 B 1.93
Rh 0.0000 0.7184 0.7184  1 B 1.93
Rh 0.2500 0.5000 0.7500  2 B 2.21
Rh 0.2500 0.7500 0.5000  2 B 2.21
Rh 0.2816 0.0000 0.2816  1 B 1.93
Rh 0.2816 0.2816 0.0000  1 B 1.93
Rh 0.5000 0.2500 0.7500  2 B 2.21
Rh 0.5000 0.7500 0.2500  2 B 2.21
Rh 0.7184 0.0000 0.7184  1 B 1.93
Rh 0.7184 0.7184 0.0000  1 B 1.93
Rh 0.7500 0.2500 0.5000  2 B 2.21
Rh 0.7500 0.5000 0.2500  2 B 2.21

***

4.
Below is crystalline AsPRhAu2 at its relaxed geometry, with properties calculated at the PBE level.

Computed properties:
* symmetry: P1 (1)
* density of states at the Fermi level: 0.42 states/eV per atom
* M_tot: 0.00 μB/f.u.
* offset from the most stable computed form: 0.076 eV/atom
* energy relative to the elements: -0.05 eV/atom

a = 3.1890 Å, b = 3.6770 Å, c = 8.6842 Å
α = 82.32°, β = 89.89°, γ = 64.37°
Last column: nearest neighbours and their distance in Å.
Element x y z (fractional)
As 0.0000 0.0000 0.0000  3 Au 2.70-2.79, 3 Rh 2.70-2.74
P 0.3241 0.3523 0.6661  3 Rh 2.29-2.31, 2 Au 2.50
Rh 0.6574 0.6862 0.7898  3 P 2.29-2.31
Au 0.3610 0.2816 0.2119  3 As 2.70-2.79, 3 Au 2.80-2.97
Au 0.7359 0.5302 0.4451  2 P 2.50, 2 Au 2.80

***

5.
Below is crystalline LaAgBiAu at its relaxed geometry, with properties calculated at the PBE level.

Computed properties:
* symmetry: F-43m (216)
* density of states at the Fermi level: 0.39 states/eV per atom
* M_tot: 0.11 μB/f.u.
* energy relative to the elements: -0.52 eV/atom

a = 7.4018 Å, b = 7.4018 Å, c = 7.4018 Å
α = 90.00°, β = 90.00°, γ = 90.00°
Last column: nearest neighbours and their distance in Å.
Element x y z (fractional)
La 0.0000 0.0000 0.0000  4 Ag 3.21, 4 Au 3.21
La 0.0000 0.5000 0.5000  4 Ag 3.21, 4 Au 3.21
La 0.5000 0.0000 0.5000  4 Ag 3.21, 4 Au 3.21
La 0.5000 0.5000 0.0000  4 Ag 3.21, 4 Au 3.21
Ag 0.2500 0.2500 0.7500  4 Bi 3.21, 4 La 3.21
Ag 0.2500 0.7500 0.2500  4 Bi 3.21, 4 La 3.21
Ag 0.7500 0.2500 0.2500  4 Bi 3.21, 4 La 3.21
Ag 0.7500 0.7500 0.7500  4 Bi 3.21, 4 La 3.21
Bi 0.0000 0.0000 0.5000  4 Au 3.21, 4 Ag 3.21
Bi 0.0000 0.5000 0.0000  4 Au 3.21, 4 Ag 3.21
Bi 0.5000 0.0000 0.0000  4 Au 3.21, 4 Ag 3.21
Bi 0.5000 0.5000 0.5000  4 Au 3.21, 4 Ag 3.21
Au 0.2500 0.2500 0.2500  4 La 3.21, 4 Bi 3.21
Au 0.2500 0.7500 0.7500  4 La 3.21, 4 Bi 3.21
Au 0.7500 0.2500 0.7500  4 La 3.21, 4 Bi 3.21
Au 0.7500 0.7500 0.2500  4 La 3.21, 4 Bi 3.21

***

6.
Below is crystalline BaNa6Li at its relaxed geometry, with properties calculated at the PBE level.

Computed properties:
* symmetry: P4/mmm (123)
* density of states at the Fermi level: 0.59 states/eV per atom
* M_tot: 0.00 μB/f.u.
* energy relative to the elements: 0.09 eV/atom

a = 5.3524 Å, b = 5.3524 Å, c = 11.4130 Å
α = 90.00°, β = 90.00°, γ = 90.00°
Last column: nearest neighbours and their distance in Å.
Element x y z (fractional)
Ba 0.0000 0.0000 0.0000  8 Na 4.12
Na 0.0000 0.5000 0.3348  2 Li 3.27, 2 Na 3.46
Na 0.0000 0.5000 0.6652  2 Li 3.27, 2 Na 3.46
Na 0.5000 0.0000 0.3348  2 Li 3.27, 2 Na 3.46
Na 0.5000 0.0000 0.6652  2 Li 3.27, 2 Na 3.46
Na 0.5000 0.5000 0.1431  5 Na 3.27-3.46
Na 0.5000 0.5000 0.8569  5 Na 3.27-3.46
Li 0.0000 0.0000 0.5000  8 Na 3.27

***

Copy entry 1 word for word.
Below is crystalline PrMgNi2H8 at its relaxed geometry, with properties calculated at the PBE level.

Computed properties:
* VASP energy: -45.871 eV for the cell shown
* symmetry: P-3 (147)
* density of states at the Fermi level: 0.49 states/eV per atom
* M_tot: 0.00 μB/f.u.

a = 4.4131 Å, b = 4.4131 Å, c = 6.5717 Å
α = 90.00°, β = 90.00°, γ = 120.00°
Last column: nearest neighbours and their distance in Å.
Element x y z (fractional)
Pr 0.0000 0.0000 0.0000  12 H 2.45-2.57
Mg 0.0000 0.0000 0.5000  6 H 1.99
Ni 0.3333 0.6667 0.7153  4 H 1.56-1.58
Ni 0.6667 0.3333 0.2847  4 H 1.56-1.58
H 0.0312 0.6824 0.2971  1 Ni 1.58
H 0.3176 0.3488 0.2971  1 Ni 1.58
H 0.3333 0.6667 0.9523  1 Ni 1.56
H 0.3488 0.0312 0.7029  1 Ni 1.58
H 0.6512 0.9688 0.2971  1 Ni 1.58
H 0.6667 0.3333 0.0477  1 Ni 1.56
H 0.6824 0.6512 0.7029  1 Ni 1.58
H 0.9688 0.3176 0.7029  1 Ni 1.58